PBE Sm2TmTe, optimized geometry; spin magnetization = 0.00 μB/f.u.; energy above the lowest structure with this stoichiometry = 0.000 eV/atom; E_form (uncorrected) = -568 meV/atom; DFT total energy = -4.831 eV per atom
1.0
-0.7162 -3.8398 0.6852
1.7625 -0.9401 -3.4259
6.7402 -0.6085 3.6345
Tm Te Sm
1 1 2
Direct
0.5000 0.5000 0.0000 Tm
0.5000 0.5000 0.5000 Te
0.0000 0.0000 0.7288 Sm
0.0000 0.0000 0.2712 Sm

---

PBE Pm2PrSnC, optimized geometry; spin magnetization = 0.00 μB/f.u.; energy of formation = -2.42 eV/f.u.; DFT total energy = -5.986 eV per atom
1.0
-4.8669 -0.2119 -1.6655
-0.5269 -4.5739 2.1216
-1.5669 2.1760 4.3022
Pm Pr Sn C
2 1 1 1
Direct
0.0000 0.0000 0.5000 Pm
0.0000 0.5000 0.0000 Pm
0.5000 0.0000 0.0000 Pr
0.5000 0.5000 0.5000 Sn
0.0000 0.0000 0.0000 C

---

PBE Mg3AlAg, optimized geometry; spin magnetization = 0.00 μB/f.u.; energy above the lowest structure with this stoichiometry = 0.000 eV/atom; energy of formation = 0.17 eV/f.u.; DFT total energy = -2.241 eV per atom
1.0
4.7392 -0.0011 0.0000
0.0014 5.7303 0.0000
0.0000 0.0000 8.0044
Mg Al Ag
6 2 2
Direct
0.7500 0.7500 0.9850 Mg
0.2500 0.2500 0.0150 Mg
0.7500 0.0009 0.6297 Mg
0.7500 0.4991 0.6297 Mg
0.2500 0.9991 0.3703 Mg
0.2500 0.5009 0.3703 Mg
0.7500 0.2500 0.2402 Al
0.2500 0.7500 0.7598 Al
0.7500 0.7500 0.3185 Ag
0.2500 0.2500 0.6815 Ag

---

PBE Er4Tm2Sc3, optimized geometry; spin magnetization = 0.00 μB/f.u.; energy above the lowest structure with this stoichiometry = 0.036 eV/atom; energy of formation = 1.00 eV/f.u.; DFT total energy = -5.020 eV per atom
1.0
-3.3029 -2.9375 -4.0389
-6.7589 -2.2810 6.2521
-6.6897 6.7158 -0.3482
Er Tm Sc
8 4 6
Direct
0.5094 0.0946 0.8094 Er
0.9906 0.1906 0.9054 Er
0.4906 0.9054 0.1906 Er
0.0094 0.8094 0.0946 Er
0.6574 0.8572 0.5723 Er
0.8426 0.4277 0.1428 Er
0.3426 0.1428 0.4277 Er
0.1574 0.5723 0.8572 Er
0.1763 0.7605 0.4765 Tm
0.3237 0.5235 0.2395 Tm
0.8237 0.2395 0.5235 Tm
0.6763 0.4765 0.7605 Tm
0.0830 0.9310 0.7355 Sc
0.4170 0.2645 0.0690 Sc
0.9170 0.0690 0.2645 Sc
0.5830 0.7355 0.9310 Sc
0.2500 0.4027 0.5973 Sc
0.7500 0.5973 0.4027 Sc

---

What is the formula in the first record?
Sm2TmTe

---

Copy entry 4 word for word.
PBE Er4Tm2Sc3, optimized geometry; spin magnetization = 0.00 μB/f.u.; energy above the lowest structure with this stoichiometry = 0.036 eV/atom; energy of formation = 1.00 eV/f.u.; DFT total energy = -5.020 eV per atom
1.0
-3.3029 -2.9375 -4.0389
-6.7589 -2.2810 6.2521
-6.6897 6.7158 -0.3482
Er Tm Sc
8 4 6
Direct
0.5094 0.0946 0.8094 Er
0.9906 0.1906 0.9054 Er
0.4906 0.9054 0.1906 Er
0.0094 0.8094 0.0946 Er
0.6574 0.8572 0.5723 Er
0.8426 0.4277 0.1428 Er
0.3426 0.1428 0.4277 Er
0.1574 0.5723 0.8572 Er
0.1763 0.7605 0.4765 Tm
0.3237 0.5235 0.2395 Tm
0.8237 0.2395 0.5235 Tm
0.6763 0.4765 0.7605 Tm
0.0830 0.9310 0.7355 Sc
0.4170 0.2645 0.0690 Sc
0.9170 0.0690 0.2645 Sc
0.5830 0.7355 0.9310 Sc
0.2500 0.4027 0.5973 Sc
0.7500 0.5973 0.4027 Sc